No. 1
# Tl2AsSe4

An optimized crystal structure of Tl2AsSe4 (GGA-PBE, the Alexandria database).

a = 7.8167 Å, b = 5.7493 Å, c = 11.3807 Å
α = 90.00°, β = 97.31°, γ = 90.00°
Space group P2_1/m (No. 11)
Asymmetric unit:
Tl  0.1703  0.2500  0.1050 [2 per cell]
Tl  0.1822  0.2500  0.5829 [2 per cell]
As  0.3221  0.7500  0.8075 [2 per cell]
Se  0.0551  0.7500  0.6831 [2 per cell]
Se  0.2429  0.7500  0.9992 [2 per cell]
Se  0.4245  0.0508  0.3730 [4 per cell]

Computed properties:
The value obtained for the formation energy without anion corrections is -0.082 eV per atom. As for the calculated volume: 507 Å³ per cell. As for the total magnetic moment: 0.00 μB/f.u. The polymorph energy (0 for the lowest one) is 8 meV per atom. As for the raw total energy: -47.79 eV/cell.

---

No. 2
# HoTaCo2

An optimized crystal structure of HoTaCo2 (GGA-PBE, the Alexandria database).

a = 3.1046 Å, b = 3.1046 Å, c = 6.7664 Å
α = 90.00°, β = 90.00°, γ = 90.00°
Space group P4/mmm (No. 123)
Asymmetric unit:
Ho  0.0000  0.0000  0.0000 [1 per cell]
Ta  0.0000  0.0000  0.5000 [1 per cell]
Co  0.5000  0.5000  0.2979 [2 per cell]

Computed properties:
The calculated formation energy is -0.18 eV per atom. As for the calculated volume: 65 Å³ per cell. As for the total magnetic moment: 0.00 μB/f.u. The polymorph energy (0 for the lowest one) is 0 meV per atom. As for the raw total energy: -31.34 eV/cell.

---

No. 3
# KDyGeTe3

An optimized crystal structure of KDyGeTe3 (GGA-PBE, the Alexandria database).

a = 9.2123 Å, b = 4.2949 Å, c = 11.7010 Å
α = 90.00°, β = 109.50°, γ = 90.00°
Space group P2_1/m (No. 11)
Asymmetric unit:
K  0.2324  0.2500  0.2803 [2 per cell]
Dy  0.3643  0.7500  0.8405 [2 per cell]
Ge  0.1184  0.2500  0.5528 [2 per cell]
Te  0.1057  0.2500  0.7802 [2 per cell]
Te  0.3297  0.7500  0.5661 [2 per cell]
Te  0.3854  0.7500  0.1077 [2 per cell]

Computed properties:
The value obtained for the formation energy without anion corrections is -0.942 eV per atom. As for the calculated volume: 436 Å³ per cell. As for the total magnetic moment: 0.00 μB/f.u. As for the raw total energy: -50.79 eV/cell.

---

No. 4
# RbCaAs2O6

An optimized crystal structure of RbCaAs2O6 (GGA-PBE, the Alexandria database).

a = 10.6332 Å, b = 10.2723 Å, c = 6.2476 Å
α = 90.00°, β = 105.90°, γ = 90.00°
Space group C2/c (No. 15)
Asymmetric unit:
Rb  0.0000  0.1972  0.2500 [4 per cell]
Ca  0.0000  0.3959  0.7500 [4 per cell]
As  0.2125  0.0822  0.7898 [8 per cell]
O  0.1189  0.4310  0.1286 [8 per cell]
O  0.1535  0.0126  0.0248 [8 per cell]
O  0.1579  0.2380  0.7302 [8 per cell]

Computed properties:
The value obtained for the formation energy without anion corrections is -1.723 eV per atom. As for the calculated volume: 656 Å³ per cell. As for the total magnetic moment: 0.00 μB/f.u. As for the raw total energy: -236.98 eV/cell.

---

No. 5
# Zn2Ga3Cu8

An optimized crystal structure of Zn2Ga3Cu8 (GGA-PBE, the Alexandria database).

a = 8.5270 Å, b = 2.6537 Å, c = 8.8574 Å
α = 90.00°, β = 118.33°, γ = 90.00°
Space group P2/m (No. 10)
Asymmetric unit:
Zn  0.1620  0.0000  0.1293 [2 per cell]
Ga  0.0000  0.0000  0.5000 [1 per cell]
Ga  0.3200  0.5000  0.7461 [2 per cell]
Cu  0.0914  0.0000  0.8108 [2 per cell]
Cu  0.2260  0.5000  0.4061 [2 per cell]
Cu  0.3614  0.5000  0.0459 [2 per cell]
Cu  0.4871  0.0000  0.3548 [2 per cell]

Computed properties:
The calculated formation energy is 0.00 eV per atom. As for the calculated volume: 176 Å³ per cell. As for the total magnetic moment: 0.00 μB/f.u. The polymorph energy (0 for the lowest one) is 0 meV per atom. As for the raw total energy: -44.36 eV/cell.

---

No. 6
# YIn

An optimized crystal structure of YIn (GGA-PBE, the Alexandria database).

a = 12.1210 Å, b = 4.9583 Å, c = 6.4661 Å
α = 90.00°, β = 121.87°, γ = 90.00°
Space group Cm (No. 8)
Asymmetric unit:
Y  0.0000  0.0000  0.0000 [2 per cell]
Y  0.1530  0.5000  0.7952 [2 per cell]
Y  0.3068  0.0000  0.5947 [2 per cell]
In  0.1539  0.5000  0.2960 [2 per cell]
In  0.3399  0.0000  0.1215 [2 per cell]
In  0.4666  0.5000  0.4725 [2 per cell]

Computed properties:
The calculated formation energy is -0.41 eV per atom. As for the calculated volume: 330 Å³ per cell. As for the total magnetic moment: 0.00 μB/f.u. As for the raw total energy: -60.08 eV/cell.

---

No. 7
# RbSbC2

An optimized crystal structure of RbSbC2 (GGA-PBE, the Alexandria database).

a = 6.5697 Å, b = 6.5697 Å, c = 8.5173 Å
α = 90.00°, β = 90.00°, γ = 90.00°
Space group I-42d (No. 122)
Asymmetric unit:
Rb  0.0000  0.0000  0.0000 [4 per cell]
Sb  0.0000  0.0000  0.5000 [4 per cell]
C  0.1424  0.2500  0.6250 [8 per cell]

Computed properties:
The value obtained for the formation energy without anion corrections is 1.620 eV per atom. As for the calculated volume: 368 Å³ per cell. As for the total magnetic moment: 2.00 μB/f.u. As for the raw total energy: -68.24 eV/cell.

---

No. 8
# BaInBrCl4

An optimized crystal structure of BaInBrCl4 (GGA-PBE, the Alexandria database).

a = 13.3193 Å, b = 9.9495 Å, c = 9.1947 Å
α = 90.00°, β = 106.92°, γ = 90.00°
Space group C2/m (No. 12)
Asymmetric unit:
Ba  0.1873  0.0000  0.0845 [4 per cell]
In  0.1401  0.5000  0.2693 [4 per cell]
Br  0.0026  0.0000  0.7846 [4 per cell]
Cl  0.0458  0.5000  0.8241 [4 per cell]
Cl  0.1960  0.5000  0.5375 [4 per cell]
Cl  0.2201  0.3181  0.1647 [8 per cell]

Computed properties:
The value obtained for the formation energy without anion corrections is -1.568 eV per atom. As for the calculated volume: 1166 Å³ per cell. As for the total magnetic moment: 0.01 μB/f.u. As for the raw total energy: -98.80 eV/cell.

---

No. 9
# NbTe6W

An optimized crystal structure of NbTe6W (GGA-PBE, the Alexandria database).

a = 6.4938 Å, b = 6.8798 Å, c = 6.9784 Å
α = 67.97°, β = 64.33°, γ = 62.46°
Space group P-1 (No. 2)
Asymmetric unit:
Nb  0.0000  0.0000  0.0000 [1 per cell]
Te  0.0580  0.7777  0.7120 [2 per cell]
Te  0.3225  0.6179  0.1743 [2 per cell]
Te  0.3780  0.1307  0.6729 [2 per cell]
W  0.5000  0.5000  0.5000 [1 per cell]

Computed properties:
The value obtained for the formation energy without anion corrections is 0.032 eV per atom. As for the calculated volume: 243 Å³ per cell. As for the total magnetic moment: 0.00 μB/f.u. As for the raw total energy: -41.61 eV/cell.

---

No. 10
# TbErAlIn

An optimized crystal structure of TbErAlIn (GGA-PBE, the Alexandria database).

a = 7.3621 Å, b = 7.3621 Å, c = 7.3621 Å
α = 90.00°, β = 90.00°, γ = 90.00°
Space group F-43m (No. 216)
Asymmetric unit:
Tb  0.0000  0.0000  0.0000 [4 per cell]
Er  0.0000  0.0000  0.5000 [4 per cell]
Al  0.2500  0.2500  0.2500 [4 per cell]
In  0.2500  0.2500  0.7500 [4 per cell]

Computed properties:
The calculated formation energy is -0.41 eV per atom. As for the calculated volume: 399 Å³ per cell. As for the total magnetic moment: 0.00 μB/f.u. The polymorph energy (0 for the lowest one) is 12 meV per atom. As for the raw total energy: -69.22 eV/cell.

---

No. 11
# Li2W

An optimized crystal structure of Li2W (GGA-PBE, the Alexandria database).

a = 9.8532 Å, b = 2.6683 Å, c = 7.7021 Å
α = 90.00°, β = 105.76°, γ = 90.00°
Space group C2/m (No. 12)
Asymmetric unit:
Li  0.0409  0.0000  0.3000 [4 per cell]
Li  0.1911  0.5000  0.6612 [4 per cell]
W  0.1325  0.5000  0.0186 [4 per cell]

Computed properties:
The calculated formation energy is 0.39 eV per atom. As for the calculated volume: 195 Å³ per cell. As for the total magnetic moment: 0.00 μB/f.u. The polymorph energy (0 for the lowest one) is 2 meV per atom. As for the raw total energy: -62.49 eV/cell.

---

No. 12
# Mg4Cd5

An optimized crystal structure of Mg4Cd5 (GGA-PBE, the Alexandria database).

a = 9.5129 Å, b = 9.5129 Å, c = 4.3822 Å
α = 90.00°, β = 90.00°, γ = 90.00°
Space group I4/mmm (No. 139)
Asymmetric unit:
Mg  0.0000  0.3281  0.0000 [8 per cell]
Cd  0.0000  0.0000  0.0000 [2 per cell]
Cd  0.1677  0.1677  0.5000 [8 per cell]

Computed properties:
The calculated formation energy is -0.07 eV per atom. As for the calculated volume: 397 Å³ per cell. As for the total magnetic moment: 0.00 μB/f.u. The polymorph energy (0 for the lowest one) is 0 meV per atom. As for the raw total energy: -23.22 eV/cell.